Record 1
Material: TmCuHg
Method: DFT, PBE-GGA
State: optimized geometry

## Properties
- Energy relative to the elements: -0.249 eV/atom
- Fermi-level density of states: 0.9 states/eV per cell

a = 3.6427 Å, b = 3.6427 Å, c = 5.3036 Å
α = 110.09°, β = 110.09°, γ = 90.00°
Sites, in units of the cell vectors:
Cu: 0.2799 0.2799 0.5599
Hg: 0.6256 0.6256 0.2511
Tm: 0.9445 0.9445 0.8890

***

Record 2
Material: TmCuHg
Method: DFT, PBE-GGA
State: optimized geometry

## Properties
- Energy relative to the elements: -0.262 eV/atom
- Fermi-level density of states: 3.2 states/eV per cell

a = 4.2476 Å, b = 4.7506 Å, c = 6.4292 Å
α = 90.00°, β = 109.23°, γ = 90.00°
Sites, in units of the cell vectors:
Cu: 0.7611 0.7500 0.5188
Cu: 0.2389 0.2500 0.4812
Tm: 0.8920 0.2500 0.7865
Tm: 0.1080 0.7500 0.2135
Hg: 0.4013 0.7500 0.8016
Hg: 0.5987 0.2500 0.1984

***

Record 3
Material: Tm4CuHg2
Method: DFT, PBE-GGA
State: optimized geometry

## Properties
- Energy relative to the elements: -0.248 eV/atom
- Fermi-level density of states: 6.0 states/eV per cell

a = 5.0451 Å, b = 5.0451 Å, c = 8.7275 Å
α = 73.20°, β = 73.20°, γ = 60.00°
Sites, in units of the cell vectors:
Cu: 0.0000 0.0000 0.0000
Hg: 0.2466 0.2466 0.2601
Tm: 0.6273 0.6273 0.1181
Tm: 0.8776 0.8776 0.3673
Hg: 0.7534 0.7534 0.7399
Tm: 0.3727 0.3727 0.8819
Tm: 0.1224 0.1224 0.6327

***

Record 4
Material: TmCuHg
Method: DFT, PBE-GGA
State: optimized geometry

## Properties
- Energy relative to the elements: -0.294 eV/atom
- Fermi-level density of states: 6.8 states/eV per cell

a = 3.7957 Å, b = 9.3254 Å, c = 7.6274 Å
α = 74.69°, β = 75.76°, γ = 78.15°
Sites, in units of the cell vectors:
Hg: 0.4294 0.1785 0.4623
Cu: 0.2312 0.6920 0.3475
Hg: 0.5706 0.3215 0.0377
Tm: 0.8734 0.9727 0.7834
Hg: 0.4294 0.6785 0.9623
Cu: 0.2312 0.1920 0.8475
Cu: 0.7688 0.8080 0.1525
Cu: 0.7688 0.3080 0.6525
Tm: 0.1266 0.0273 0.2166
Tm: 0.1266 0.5273 0.7166
Hg: 0.5706 0.8215 0.5377
Tm: 0.8734 0.4727 0.2834

***

Record 5
Material: Tm8Cu2Hg
Method: DFT, PBE-GGA
State: optimized geometry

## Properties
- Energy relative to the elements: -0.061 eV/atom
- Fermi-level density of states: 15.5 states/eV per cell

a = 3.7448 Å, b = 9.0531 Å, c = 10.0368 Å
α = 116.81°, β = 100.75°, γ = 90.00°
Sites, in units of the cell vectors:
Cu: 0.7580 0.2580 0.5159
Tm: 0.8618 0.8618 0.7237
Tm: 0.6707 0.4818 0.3415
Tm: 0.6707 0.8597 0.3415
Cu: 0.2420 0.7420 0.4841
Tm: 0.3293 0.5182 0.6585
Tm: 0.1382 0.1382 0.2763
Tm: 0.0000 0.2919 0.0000
Tm: 0.3293 0.1403 0.6585
Tm: 0.0000 0.7081 0.0000
Hg: 0.5000 0.0000 0.0000

***

Record 6
Material: Tm4Cu3Hg
Method: DFT, PBE-GGA
State: optimized geometry

## Properties
- Energy relative to the elements: -0.312 eV/atom
- Fermi-level density of states: 5.6 states/eV per cell

a = 3.4838 Å, b = 4.9665 Å, c = 9.8463 Å
α = 90.00°, β = 90.00°, γ = 90.00°
Sites, in units of the cell vectors:
Cu: 0.5000 0.5000 0.5000
Tm: 0.0000 0.0000 0.0000
Tm: 0.0000 0.0000 0.5000
Hg: 0.5000 0.5000 0.0000
Cu: 0.5000 0.0000 0.2517
Tm: 0.0000 0.5000 0.7362
Tm: 0.0000 0.5000 0.2638
Cu: 0.5000 0.0000 0.7483

***

Record 7
Material: Tm5Cu2Hg2
Method: DFT, PBE-GGA
State: optimized geometry

## Properties
- Energy relative to the elements: -0.298 eV/atom
- Fermi-level density of states: 17.0 states/eV per cell

a = 7.1810 Å, b = 7.1663 Å, c = 9.1507 Å
α = 113.05°, β = 90.00°, γ = 90.00°
Sites, in units of the cell vectors:
Tm: 0.8253 0.5493 0.7413
Hg: 0.5000 0.7229 0.4459
Hg: 0.5000 0.2771 0.5541
Tm: 0.8253 0.8081 0.2587
Cu: 0.6231 0.8777 0.0000
Tm: 0.3253 0.6919 0.7413
Tm: 0.1747 0.4507 0.2587
Tm: 0.5000 0.5000 0.0000
Hg: 0.0000 0.7771 0.5541
Cu: 0.3769 0.1223 0.0000
Tm: 0.0000 0.0000 0.0000
Tm: 0.6747 0.0493 0.7413
Hg: 0.0000 0.2229 0.4459
Tm: 0.6747 0.3081 0.2587
Tm: 0.1747 0.1919 0.7413
Cu: 0.8769 0.3777 0.0000
Cu: 0.1231 0.6223 0.0000
Tm: 0.3253 0.9507 0.2587

***

Record 8
Material: Tm3CuHg
Method: DFT, PBE-GGA
State: optimized geometry

## Properties
- Energy relative to the elements: -0.147 eV/atom
- Fermi-level density of states: 9.7 states/eV per cell

a = 4.8118 Å, b = 7.8272 Å, c = 7.8272 Å
α = 120.00°, β = 90.00°, γ = 90.00°
Sites, in units of the cell vectors:
Cu: 0.5000 0.0000 0.0000
Tm: 0.2500 0.3775 0.1889
Tm: 0.2500 0.8112 0.1888
Tm: 0.2500 0.8111 0.6225
Tm: 0.7500 0.1889 0.3775
Tm: 0.7500 0.1888 0.8112
Hg: 0.2500 0.3335 0.6665
Tm: 0.7500 0.6225 0.8111
Hg: 0.7500 0.6665 0.3335
Cu: 0.0000 0.0000 0.0000

***

Record 9
Material: Tm3Cu2Hg3
Method: DFT, PBE-GGA
State: optimized geometry

## Properties
- Energy relative to the elements: -0.360 eV/atom
- Fermi-level density of states: 8.4 states/eV per cell

a = 3.7309 Å, b = 7.3593 Å, c = 7.3593 Å
α = 120.00°, β = 90.00°, γ = 90.00°
Sites, in units of the cell vectors:
Hg: 0.0000 0.0000 0.2442
Hg: 0.0000 0.7558 0.7558
Cu: 0.0000 0.3333 0.6667
Hg: 0.0000 0.2442 0.0000
Tm: 0.5000 0.4088 0.4088
Cu: 0.0000 0.6667 0.3333
Tm: 0.5000 0.5912 0.0000
Tm: 0.5000 0.0000 0.5912

***

Record 10
Material: Tm6CuHg5
Method: DFT, PBE-GGA
State: optimized geometry

## Properties
- Energy relative to the elements: -0.433 eV/atom
- Fermi-level density of states: 8.3 states/eV per cell

a = 5.1321 Å, b = 7.3078 Å, c = 8.1258 Å
α = 90.00°, β = 71.86°, γ = 90.00°
Sites, in units of the cell vectors:
Tm: 0.8379 0.2447 0.3243
Tm: 0.5000 0.7603 0.0000
Tm: 0.8379 0.7553 0.3243
Hg: 0.3335 0.0000 0.3328
Hg: 0.0000 0.5000 0.0000
Tm: 0.1621 0.7553 0.6757
Cu: 0.0000 0.0000 0.0000
Hg: 0.3321 0.5000 0.3359
Tm: 0.5000 0.2397 0.0000
Hg: 0.6679 0.5000 0.6641
Tm: 0.1621 0.2447 0.6757
Hg: 0.6665 0.0000 0.6672

***

Record 11
Material: Tm2CuHg3
Method: DFT, PBE-GGA
State: optimized geometry

## Properties
- Energy relative to the elements: -0.329 eV/atom
- Fermi-level density of states: 3.3 states/eV per cell

a = 3.4195 Å, b = 4.7332 Å, c = 8.2897 Å
α = 90.00°, β = 90.00°, γ = 90.00°
Sites, in units of the cell vectors:
Hg: 0.5000 0.0000 0.8366
Tm: 0.0000 0.0000 0.4898
Cu: 0.5000 0.5000 0.3271
Hg: 0.5000 0.0000 0.1810
Hg: 0.5000 0.5000 0.6458
Tm: 0.0000 0.5000 0.0197

***

Record 12
Material: Tm3Cu2Hg
Method: DFT, PBE-GGA
State: optimized geometry

## Properties
- Energy relative to the elements: -0.340 eV/atom
- Fermi-level density of states: 5.2 states/eV per cell

a = 3.4525 Å, b = 3.4525 Å, c = 10.8776 Å
α = 90.00°, β = 90.00°, γ = 90.00°
Sites, in units of the cell vectors:
Cu: 0.5000 0.5000 0.1587
Hg: 0.5000 0.5000 0.5000
Tm: 0.0000 0.0000 0.6882
Tm: 0.0000 0.0000 0.0000
Cu: 0.5000 0.5000 0.8413
Tm: 0.0000 0.0000 0.3118

***

Record 13
Material: TmCuHg
Method: DFT, PBE-GGA
State: optimized geometry

## Properties
- Energy relative to the elements: -0.350 eV/atom
- Fermi-level density of states: 11.8 states/eV per cell

a = 3.7340 Å, b = 7.5288 Å, c = 13.0448 Å
α = 90.00°, β = 90.00°, γ = 90.00°
Sites, in units of the cell vectors:
Tm: 0.0000 0.7647 0.4521
Hg: 0.5000 0.5762 0.8857
Tm: 0.0000 0.7647 0.0479
Cu: 0.0000 0.4452 0.7500
Hg: 0.5000 0.1808 0.7500
Tm: 0.0000 0.2353 0.9521
Hg: 0.5000 0.8192 0.2500
Tm: 0.0000 0.2353 0.5479
Tm: 0.0000 0.8426 0.7500
Cu: 0.0000 0.5548 0.2500
Hg: 0.5000 0.5762 0.6143
Tm: 0.0000 0.1574 0.2500
Cu: 0.5000 0.9439 0.9113
Hg: 0.5000 0.4238 0.3857
Cu: 0.5000 0.0561 0.4113
Cu: 0.5000 0.0561 0.0887
Cu: 0.5000 0.9439 0.5887
Hg: 0.5000 0.4238 0.1143

***

Record 14
Material: TmCuHg
Method: DFT, PBE-GGA
State: optimized geometry

## Properties
- Energy relative to the elements: -0.201 eV/atom
- Fermi-level density of states: 2.7 states/eV per cell

a = 4.5657 Å, b = 4.5657 Å, c = 4.5657 Å
α = 60.00°, β = 60.00°, γ = 60.00°
Sites, in units of the cell vectors:
Cu: 0.2500 0.2500 0.2500
Hg: 0.5000 0.5000 0.5000
Tm: 0.0000 0.0000 0.0000

***

Record 15
Material: Tm7Cu2Hg2
Method: DFT, PBE-GGA
State: optimized geometry

## Properties
- Energy relative to the elements: -0.077 eV/atom
- Fermi-level density of states: 10.1 states/eV per cell

a = 6.7046 Å, b = 6.9836 Å, c = 6.7046 Å
α = 90.00°, β = 109.23°, γ = 90.00°
Sites, in units of the cell vectors:
Tm: 0.4997 0.2567 0.0002
Tm: 0.9998 0.2567 0.5003
Hg: 0.8168 0.5000 0.8168
Hg: 0.1832 0.5000 0.1832
Cu: 0.7027 0.0000 0.2973
Tm: 0.0002 0.7433 0.4997
Tm: 0.4998 0.2440 0.5002
Tm: 0.5002 0.7560 0.4998
Tm: 0.5003 0.7433 0.9998
Cu: 0.2973 0.0000 0.7027
Tm: 0.0000 0.0000 0.0000

***

Record 16
Material: Tm8Cu2Hg
Method: DFT, PBE-GGA
State: optimized geometry

## Properties
- Energy relative to the elements: -0.061 eV/atom
- Fermi-level density of states: 16.0 states/eV per cell

a = 5.3242 Å, b = 7.9139 Å, c = 7.9139 Å
α = 115.06°, β = 98.91°, γ = 98.91°
Sites, in units of the cell vectors:
Tm: 0.5000 0.2333 0.7667
Tm: 0.5000 0.7667 0.2333
Tm: 0.0962 0.3357 0.0851
Tm: 0.0962 0.0851 0.3357
Tm: 0.9038 0.6643 0.9149
Tm: 0.9038 0.9149 0.6643
Hg: 0.5000 0.0000 0.0000
Tm: 0.6944 0.3881 0.3881
Cu: 0.0000 0.6946 0.3054
Tm: 0.3056 0.6119 0.6119
Cu: 0.0000 0.3054 0.6946

***

Record 17
Material: Tm3Cu2Hg4
Method: DFT, PBE-GGA
State: optimized geometry

## Properties
- Energy relative to the elements: -0.326 eV/atom
- Fermi-level density of states: 5.3 states/eV per cell

a = 4.7160 Å, b = 5.8604 Å, c = 8.7452 Å
α = 115.37°, β = 90.00°, γ = 113.73°
Sites, in units of the cell vectors:
Tm: 0.3309 0.6618 0.3429
Hg: 0.2904 0.5808 0.9395
Cu: 0.5999 0.1997 0.2750
Hg: 0.7096 0.4192 0.0605
Tm: 0.6691 0.3382 0.6571
Hg: 0.9434 0.8869 0.6198
Tm: 0.0000 0.0000 0.0000
Hg: 0.0566 0.1131 0.3802
Cu: 0.4001 0.8003 0.7250

***

Record 18
Material: YTmCuHg
Method: DFT, PBE-GGA
State: optimized geometry

## Properties
- Energy relative to the elements: -0.372 eV/atom
- ΔE to the lowest computed polymorph: 0.000 eV per formula unit
- Fermi-level density of states: 3.4 states/eV per cell

a = 3.5151 Å, b = 3.5151 Å, c = 7.4392 Å
α = 90.00°, β = 90.00°, γ = 90.00°
Sites, in units of the cell vectors:
Y: 0.5000 0.5000 0.1291
Cu: 0.0000 0.0000 0.3670
Hg: 0.0000 0.0000 0.8494
Tm: 0.5000 0.5000 0.5825

***

Record 19
Material: YTmCuHg
Method: DFT, PBE-GGA
State: optimized geometry

## Properties
- Energy relative to the elements: -0.344 eV/atom
- ΔE to the lowest computed polymorph: 0.111 eV per formula unit
- Fermi-level density of states: 4.5 states/eV per cell

a = 5.0809 Å, b = 5.0809 Å, c = 5.0809 Å
α = 60.00°, β = 60.00°, γ = 60.00°
Sites, in units of the cell vectors:
Tm: 0.2500 0.2500 0.2500
Cu: 0.0000 0.0000 0.0000
Y: 0.7500 0.7500 0.7500
Hg: 0.5000 0.5000 0.5000

***

Record 20
Material: VCu3Hg
Method: DFT, PBE-GGA
State: optimized geometry

## Properties
- Energy relative to the elements: 1.200 eV/atom
- ΔE to the lowest computed polymorph: 0.000 eV per formula unit
- Fermi-level density of states: 5.9 states/eV per cell

a = 4.6385 Å, b = 4.6385 Å, c = 4.6385 Å
α = 90.00°, β = 90.00°, γ = 90.00°
Last column: magnetic moment on the atom in μB.
Sites, in units of the cell vectors:
Cu: 0.0000 0.5000 0.0000  0.07
V: 0.0000 0.0000 0.0000  2.06
Cu: 0.5000 0.0000 0.0000  0.07
Hg: 0.5000 0.5000 0.5000  0.02
Cu: 0.0000 0.0000 0.5000  0.07

***

Record 21
Material: VCu2Hg
Method: DFT, PBE-GGA
State: optimized geometry

## Properties
- Energy relative to the elements: 0.633 eV/atom
- Fermi-level density of states: 8.6 states/eV per cell

a = 7.0751 Å, b = 7.0751 Å, c = 5.6913 Å
α = 51.57°, β = 51.57°, γ = 90.00°
Last column: magnetic moment on the atom in μB.
Sites, in units of the cell vectors:
Cu: 0.8750 0.8659 0.7500  0.08
V: 0.5000 0.5000 0.0000  2.32
Hg: 0.0000 0.0000 0.0000  0.06
Hg: 0.7500 0.2500 0.5000  0.06
Cu: 0.3750 0.3841 0.7500  0.08
Cu: 0.6159 0.1250 0.2500  0.08
Cu: 0.1341 0.6250 0.2500  0.08
V: 0.2500 0.7500 0.5000  2.32

***

Record 22
Material: VCu3Hg
Method: DFT, PBE-GGA
State: optimized geometry

## Properties
- Energy relative to the elements: 1.211 eV/atom
- ΔE to the lowest computed polymorph: 0.057 eV per formula unit
- Fermi-level density of states: 6.3 states/eV per cell

a = 4.7734 Å, b = 4.7734 Å, c = 4.7734 Å
α = 90.00°, β = 90.00°, γ = 90.00°
Last column: magnetic moment on the atom in μB.
Sites, in units of the cell vectors:
Cu: 0.0000 0.0000 0.5000  -0.02
V: 0.5000 0.5000 0.5000  2.94
Cu: 0.0000 0.5000 0.0000  -0.02
Hg: 0.0000 0.0000 0.0000  -0.01
Cu: 0.5000 0.0000 0.0000  -0.02

***

Record 23
Material: CuHgW2
Method: DFT, PBE-GGA
State: optimized geometry

## Properties
- Energy relative to the elements: 0.685 eV/atom
- Fermi-level density of states: 2.1 states/eV per cell

a = 4.8894 Å, b = 4.8894 Å, c = 4.8894 Å
α = 131.24°, β = 131.24°, γ = 71.43°
Sites, in units of the cell vectors:
Hg: 0.7500 0.2500 0.5000
W: 0.2500 0.7500 0.5000
W: 0.0000 0.0000 0.0000
Cu: 0.5000 0.5000 0.0000

***

Record 24
Material: CuHgW2
Method: DFT, PBE-GGA
State: optimized geometry

## Properties
- Energy relative to the elements: 0.505 eV/atom
- Fermi-level density of states: 3.3 states/eV per cell

a = 9.6795 Å, b = 9.6795 Å, c = 9.6795 Å
α = 16.84°, β = 16.84°, γ = 16.84°
Sites, in units of the cell vectors:
Hg: 0.7547 0.7547 0.7547
Cu: 0.5031 0.5031 0.5031
W: 0.9966 0.9966 0.9966
W: 0.2456 0.2456 0.2456

***

Record 25
Material: CuHgW2
Method: DFT, PBE-GGA
State: optimized geometry

## Properties
- Energy relative to the elements: 0.523 eV/atom
- Fermi-level density of states: 2.0 states/eV per cell

a = 4.2895 Å, b = 2.7787 Å, c = 5.6274 Å
α = 80.58°, β = 90.00°, γ = 90.00°
Sites, in units of the cell vectors:
Hg: 0.5000 0.5734 0.7422
Cu: 0.0000 0.6783 0.4798
W: 0.0000 0.0099 0.0198
W: 0.5000 0.2384 0.2582